(1)
An optimized crystal structure of Zr3BeNb, computed with PBE.

Results
As for the mass density: 6.0 g cm⁻³. The energy above the most stable polymorph in this dataset is 0.00 kcal/mol of atoms. The calculation puts the energy of formation at 0.522 eV/atom.

a b c (Å): 4.710 4.710 4.710
angles (deg): 90.00 90.00 90.00
Space group Pm-3m (No. 221)
Asymmetric unit:
Zr1 0.000 0.000 0.500 [3 per cell]
Be1 0.000 0.000 0.000 [1 per cell]
Nb1 0.500 0.500 0.500 [1 per cell]


(2)
An optimized crystal structure of Nd3Al8Pd3, computed with PBE.

Results
As for the mass density: 5.9 g cm⁻³. The calculation puts the energy of formation at -0.676 eV/atom.

a b c (Å): 16.000 4.529 9.071
angles (deg): 90.00 123.77 90.00
Space group C2/m (No. 12)
Asymmetric unit:
Nd1 0.000 0.000 0.000 [2 per cell]
Nd2 0.213 0.500 0.697 [4 per cell]
Al1 0.007 0.500 0.676 [4 per cell]
Al2 0.132 0.000 0.421 [4 per cell]
Al3 0.149 0.000 0.861 [4 per cell]
Al4 0.150 0.500 0.280 [4 per cell]
Pd1 0.000 0.000 0.500 [2 per cell]
Pd2 0.154 0.500 0.001 [4 per cell]


(3)
An optimized crystal structure of Se2S6Br, computed with PBE.

Results
Its uncorrected formation energy is 0.157 eV/atom. As for the mass density: 2.3 g cm⁻³.

a b c (Å): 6.702 6.867 7.162
angles (deg): 78.69 87.29 77.19
Space group P1 (No. 1)
Asymmetric unit:
Se1 0.000 0.000 0.000 [1 per cell]
Se2 0.491 0.549 0.298 [1 per cell]
S1 0.186 0.671 0.727 [1 per cell]
S2 0.305 0.877 0.571 [1 per cell]
S3 0.590 0.322 0.112 [1 per cell]
S4 0.591 0.810 0.113 [1 per cell]
S5 0.900 0.224 0.188 [1 per cell]
S6 0.901 0.737 0.183 [1 per cell]
Br1 0.246 0.275 0.649 [1 per cell]


(4)
An optimized crystal structure of CdIrRh2, computed with PBE.

Results
As for the mass density: 13.7 g cm⁻³. The calculation puts the energy of formation at 0.116 eV/atom.

a b c (Å): 3.948 3.948 7.937
angles (deg): 90.00 90.00 90.00
Space group I-4m2 (No. 119)
Asymmetric unit:
Cd1 0.000 0.000 0.000 [2 per cell]
Ir1 0.000 0.500 0.750 [2 per cell]
Rh1 0.000 0.000 0.500 [2 per cell]
Rh2 0.000 0.500 0.250 [2 per cell]


(5)
An optimized crystal structure of LaRe, computed with PBE.

Results
As for the mass density: 9.7 g cm⁻³. The energy above the most stable polymorph in this dataset is 11.35 kcal/mol of atoms. The calculation puts the energy of formation at 0.644 eV/atom.

a b c (Å): 3.7947 3.7947 13.3218
angles (deg): 90.00 90.00 120.00
Space group P3m1 (No. 156)
Asymmetric unit:
La1 0.0000 0.0000 0.0000 [1 per cell]
La2 0.0000 0.0000 0.2943 [1 per cell]
La3 0.6667 0.3333 0.5575 [1 per cell]
Re1 0.0000 0.0000 0.7294 [1 per cell]
Re2 0.6667 0.3333 0.1529 [1 per cell]
Re3 0.6667 0.3333 0.8096 [1 per cell]


(6)
An optimized crystal structure of BaZrSe2N, computed with PBE.

Results
Its uncorrected formation energy is -1.151 eV/atom. As for the mass density: 5.3 g cm⁻³. The energy above the most stable polymorph in this dataset is 0.00 kcal/mol of atoms.

a b c (Å): 5.434 5.434 4.243
angles (deg): 90.00 90.00 90.00
Space group P4/mmm (No. 123)
Asymmetric unit:
Ba1 0.000 0.000 0.000 [1 per cell]
Zr1 0.500 0.500 0.500 [1 per cell]
Se1 0.000 0.500 0.500 [2 per cell]
N1 0.500 0.500 0.000 [1 per cell]


Which formula does entry 6 have?
BaZrSe2N